A relaxed Li4Tl2Cd3Hg2 crystal. Source: Alexandria, functional PBE.

abc: 4.7830 4.7830 11.8515
angles: 90.00 90.00 120.00
Last column: nearest neighbours and their distance in Å.
Fractional positions:
Li  0.3333  0.6667  0.3337  1 Hg 2.71, 3 Cd 2.89, 4 Tl 2.93-2.94
Li  0.6667  0.3333  0.6663  1 Hg 2.71, 3 Cd 2.89, 4 Tl 2.93-2.94
Li  0.6667  0.3333  0.1557  4 Hg 2.83-3.09, 3 Cd 3.04, 1 Tl 3.12
Li  0.3333  0.6667  0.8443  4 Hg 2.83-3.09, 3 Cd 3.04, 1 Tl 3.12
Cd  0.0000  0.0000  0.7373  6 Li 2.89-3.04, 1 Cd 3.11
Cd  0.0000  0.0000  0.0000  6 Hg 3.03, 2 Cd 3.11, 6 Li 3.32
Cd  0.0000  0.0000  0.2627  6 Li 2.89-3.04, 1 Cd 3.11
Tl  0.6667  0.3333  0.4190  5 Li 2.93-3.12
Tl  0.3333  0.6667  0.5810  5 Li 2.93-3.12
Hg  0.3333  0.6667  0.1053  4 Li 2.71-2.83, 3 Cd 3.03
Hg  0.6667  0.3333  0.8947  4 Li 2.71-2.83, 3 Cd 3.03

Calculated values
The total DFT energy (no corrections) comes out at -17.789 eV for the cell shown. The formation energy comes out at -0.187 eV/atom.

A relaxed LiTlCd2Hg5 crystal. Source: Alexandria, functional PBE.

abc: 5.2398 6.4098 8.6295
angles: 111.80 107.67 90.00
Last column: nearest neighbours and their distance in Å.
Fractional positions:
Li  0.5000  0.0000  0.0000  6 Hg 2.62-2.69
Tl  0.0000  0.5000  0.0000  2 Hg 3.20
Hg  0.6388  0.4011  0.2776  1 Li 2.69, 1 Cd 2.99
Hg  0.6388  0.8765  0.2776  1 Li 2.69, 1 Cd 2.99
Hg  0.3612  0.5989  0.7224  1 Li 2.69, 1 Cd 2.99
Hg  0.0000  0.0000  0.0000  2 Li 2.62, 2 Cd 2.90
Hg  0.3612  0.1235  0.7224  1 Li 2.69, 1 Cd 2.99
Cd  0.1915  0.1915  0.3830  7 Hg 2.90-3.21
Cd  0.8085  0.8085  0.6170  7 Hg 2.90-3.21

Calculated values
The total DFT energy (no corrections) comes out at -7.498 eV for the cell shown. The formation energy comes out at 0.014 eV/atom.

A relaxed LiTlCdHg3 crystal. Source: Alexandria, functional PBE.

abc: 4.1630 7.6890 9.5846
angles: 90.00 90.00 105.71
Last column: nearest neighbours and their distance in Å.
Fractional positions:
Cd  0.4752  0.9503  0.7500  4 Hg 3.02-3.05, 4 Li 3.20, 2 Tl 3.31
Cd  0.5248  0.0497  0.2500  4 Hg 3.02-3.05, 4 Li 3.20, 2 Tl 3.31
Tl  0.1985  0.3970  0.2500  8 Hg 3.27-3.36, 2 Cd 3.31
Tl  0.8015  0.6030  0.7500  8 Hg 3.27-3.36, 2 Cd 3.31
Hg  0.8770  0.7539  0.2500  2 Li 3.01, 2 Cd 3.02, 4 Hg 3.15, 2 Tl 3.36
Hg  0.6474  0.2947  0.5057  2 Li 3.02, 1 Cd 3.05, 2 Hg 3.15, 3 Tl 3.27-3.30
Hg  0.1230  0.2461  0.7500  2 Li 3.01, 2 Cd 3.02, 4 Hg 3.15, 2 Tl 3.36
Hg  0.3526  0.7053  0.0057  2 Li 3.02, 1 Cd 3.05, 2 Hg 3.15, 3 Tl 3.27-3.30
Hg  0.3526  0.7053  0.4943  2 Li 3.02, 1 Cd 3.05, 2 Hg 3.15, 3 Tl 3.27-3.30
Hg  0.6474  0.2947  0.9943  2 Li 3.02, 1 Cd 3.05, 2 Hg 3.15, 3 Tl 3.27-3.30
Li  0.0000  0.0000  0.0000  6 Hg 3.01-3.02, 4 Cd 3.20
Li  0.0000  0.0000  0.5000  6 Hg 3.01-3.02, 4 Cd 3.20

Calculated values
The total DFT energy (no corrections) comes out at -13.241 eV for the cell shown. The formation energy comes out at -0.087 eV/atom.

A relaxed Li2Tl2CdHg5 crystal. Source: Alexandria, functional PBE.

abc: 3.9949 11.0144 11.0144
angles: 90.00 90.00 90.00
Last column: nearest neighbours and their distance in Å.
Fractional positions:
Tl  0.0000  0.6744  0.1744  3 Li 3.09-3.36, 2 Hg 3.37
Tl  0.0000  0.8256  0.6744  3 Li 3.09-3.36, 2 Hg 3.37
Tl  0.0000  0.1744  0.3256  3 Li 3.09-3.36, 2 Hg 3.37
Tl  0.0000  0.3256  0.8256  3 Li 3.09-3.36, 2 Hg 3.37
Cd  0.0000  0.0000  0.0000  8 Hg 3.08
Cd  0.0000  0.5000  0.5000  8 Hg 3.08
Hg  0.5000  0.7958  0.9387  2 Li 2.82, 2 Cd 3.08
Hg  0.5000  0.2042  0.0613  2 Li 2.82, 2 Cd 3.08
Hg  0.5000  0.5000  0.0000  4 Li 2.81
Hg  0.5000  0.9387  0.2042  2 Li 2.82, 2 Cd 3.08
Hg  0.5000  0.0000  0.5000  4 Li 2.81
Hg  0.5000  0.5613  0.7042  2 Li 2.82, 2 Cd 3.08
Hg  0.5000  0.2958  0.5613  2 Li 2.82, 2 Cd 3.08
Hg  0.5000  0.7042  0.4387  2 Li 2.82, 2 Cd 3.08
Hg  0.5000  0.4387  0.2958  2 Li 2.82, 2 Cd 3.08
Hg  0.5000  0.0613  0.7958  2 Li 2.82, 2 Cd 3.08
Li  0.0000  0.1272  0.6272  6 Hg 2.81-2.82, 1 Tl 3.09
Li  0.0000  0.3728  0.1272  6 Hg 2.81-2.82, 1 Tl 3.09
Li  0.0000  0.8728  0.3728  6 Hg 2.81-2.82, 1 Tl 3.09
Li  0.0000  0.6272  0.8728  6 Hg 2.81-2.82, 1 Tl 3.09

Calculated values
The total DFT energy (no corrections) comes out at -24.412 eV for the cell shown. The formation energy comes out at -0.122 eV/atom.

A relaxed Li5TlCd2Hg2 crystal. Source: Alexandria, functional PBE.

abc: 3.4882 10.8137 10.8137
angles: 90.00 90.00 90.00
Last column: nearest neighbours and their distance in Å.
Fractional positions:
Cd  0.0000  0.8346  0.6654  1 Hg 2.96, 6 Li 2.98-3.07
Cd  0.0000  0.1654  0.3346  1 Hg 2.96, 6 Li 2.98-3.07
Cd  0.0000  0.3346  0.8346  1 Hg 2.96, 6 Li 2.98-3.07
Cd  0.0000  0.6654  0.1654  1 Hg 2.96, 6 Li 2.98-3.07
Li  0.5000  0.9804  0.2084  2 Hg 2.72, 2 Tl 2.86, 2 Cd 2.98
Li  0.5000  0.5000  0.0000  4 Hg 2.77, 4 Cd 3.07
Li  0.5000  0.2916  0.5196  2 Hg 2.72, 2 Tl 2.86, 2 Cd 2.98
Li  0.5000  0.2084  0.0196  2 Hg 2.72, 2 Tl 2.86, 2 Cd 2.98
Li  0.5000  0.0196  0.7916  2 Hg 2.72, 2 Tl 2.86, 2 Cd 2.98
Li  0.5000  0.4804  0.2916  2 Hg 2.72, 2 Tl 2.86, 2 Cd 2.98
Li  0.5000  0.7084  0.4804  2 Hg 2.72, 2 Tl 2.86, 2 Cd 2.98
Li  0.5000  0.5196  0.7084  2 Hg 2.72, 2 Tl 2.86, 2 Cd 2.98
Li  0.5000  0.7916  0.9804  2 Hg 2.72, 2 Tl 2.86, 2 Cd 2.98
Li  0.5000  0.0000  0.5000  4 Hg 2.77, 4 Cd 3.07
Tl  0.0000  0.0000  0.0000  8 Li 2.86
Tl  0.0000  0.5000  0.5000  8 Li 2.86
Hg  0.0000  0.8591  0.3591  6 Li 2.72-2.77, 1 Cd 2.96
Hg  0.0000  0.3591  0.1409  6 Li 2.72-2.77, 1 Cd 2.96
Hg  0.0000  0.1409  0.6409  6 Li 2.72-2.77, 1 Cd 2.96
Hg  0.0000  0.6409  0.8591  6 Li 2.72-2.77, 1 Cd 2.96

Calculated values
The total DFT energy (no corrections) comes out at -32.785 eV for the cell shown. The formation energy comes out at -0.202 eV/atom.

A relaxed LiTlCdHg crystal. Source: Alexandria, functional PBE.

abc: 5.0695 5.0695 5.0695
angles: 60.00 60.00 60.00
Last column: nearest neighbours and their distance in Å.
Fractional positions:
Cd  0.7500  0.7500  0.7500  4 Hg 3.10, 4 Tl 3.10
Hg  0.5000  0.5000  0.5000  4 Cd 3.10, 4 Li 3.10
Tl  0.0000  0.0000  0.0000  4 Li 3.10, 4 Cd 3.10
Li  0.2500  0.2500  0.2500  4 Hg 3.10, 4 Tl 3.10

Calculated values
The total DFT energy (no corrections) comes out at -5.975 eV for the cell shown. As for the energy above the most stable polymorph in this dataset: 0.010 eV/atom. The formation energy comes out at -0.120 eV/atom.

A relaxed Li5Tl2CdHg2 crystal. Source: Alexandria, functional PBE.

abc: 3.4182 11.1031 11.1031
angles: 90.00 90.00 90.00
Last column: nearest neighbours and their distance in Å.
Fractional positions:
Li  0.5000  0.2021  0.0279  2 Hg 2.76, 2 Cd 2.84
Li  0.5000  0.0000  0.5000  4 Hg 2.72
Li  0.5000  0.5279  0.7021  2 Hg 2.76, 2 Cd 2.84
Li  0.5000  0.9721  0.2021  2 Hg 2.76, 2 Cd 2.84
Li  0.5000  0.7021  0.4721  2 Hg 2.76, 2 Cd 2.84
Li  0.5000  0.2979  0.5279  2 Hg 2.76, 2 Cd 2.84
Li  0.5000  0.7979  0.9721  2 Hg 2.76, 2 Cd 2.84
Li  0.5000  0.5000  0.0000  4 Hg 2.72
Li  0.5000  0.0279  0.7979  2 Hg 2.76, 2 Cd 2.84
Li  0.5000  0.4721  0.2979  2 Hg 2.76, 2 Cd 2.84
Hg  0.0000  0.6349  0.8651  6 Li 2.72-2.76
Hg  0.0000  0.3651  0.1349  6 Li 2.72-2.76
Hg  0.0000  0.1349  0.6349  6 Li 2.72-2.76
Hg  0.0000  0.8651  0.3651  6 Li 2.72-2.76
Cd  0.0000  0.0000  0.0000  8 Li 2.84
Cd  0.0000  0.5000  0.5000  8 Li 2.84
Tl  0.0000  0.6703  0.1703  3 Hg 3.06-3.41, 6 Li 3.13-3.17, 2 Tl 3.42
Tl  0.0000  0.3297  0.8297  3 Hg 3.06-3.41, 6 Li 3.13-3.17, 2 Tl 3.42
Tl  0.0000  0.8297  0.6703  3 Hg 3.06-3.41, 6 Li 3.13-3.17, 2 Tl 3.42
Tl  0.0000  0.1703  0.3297  3 Hg 3.06-3.41, 6 Li 3.13-3.17, 2 Tl 3.42

Calculated values
The total DFT energy (no corrections) comes out at -35.950 eV for the cell shown. The formation energy comes out at -0.215 eV/atom.

A relaxed Li5Tl2Cd2Hg crystal. Source: Alexandria, functional PBE.

abc: 3.4020 11.0587 11.0587
angles: 90.00 90.00 90.00
Last column: nearest neighbours and their distance in Å.
Fractional positions:
Cd  0.0000  0.3546  0.8546  6 Li 2.84, 1 Tl 3.01
Cd  0.0000  0.1454  0.3546  6 Li 2.84, 1 Tl 3.01
Cd  0.0000  0.6454  0.1454  6 Li 2.84, 1 Tl 3.01
Cd  0.0000  0.8546  0.6454  6 Li 2.84, 1 Tl 3.01
Li  0.5000  0.0109  0.1984  2 Hg 2.78, 2 Cd 2.84, 2 Tl 2.99, 2 Li 3.11
Li  0.5000  0.8016  0.0109  2 Hg 2.78, 2 Cd 2.84, 2 Tl 2.99, 2 Li 3.11
Li  0.5000  0.4891  0.6984  2 Hg 2.78, 2 Cd 2.84, 2 Tl 2.99, 2 Li 3.11
Li  0.5000  0.0000  0.5000  4 Cd 2.84, 4 Tl 3.05
Li  0.5000  0.3016  0.4891  2 Hg 2.78, 2 Cd 2.84, 2 Tl 2.99, 2 Li 3.11
Li  0.5000  0.9891  0.8016  2 Hg 2.78, 2 Cd 2.84, 2 Tl 2.99, 2 Li 3.11
Li  0.5000  0.1984  0.9891  2 Hg 2.78, 2 Cd 2.84, 2 Tl 2.99, 2 Li 3.11
Li  0.5000  0.5109  0.3016  2 Hg 2.78, 2 Cd 2.84, 2 Tl 2.99, 2 Li 3.11
Li  0.5000  0.5000  0.0000  4 Cd 2.84, 4 Tl 3.05
Li  0.5000  0.6984  0.5109  2 Hg 2.78, 2 Cd 2.84, 2 Tl 2.99, 2 Li 3.11
Hg  0.0000  0.5000  0.5000  8 Li 2.78
Hg  0.0000  0.0000  0.0000  8 Li 2.78
Tl  0.0000  0.6620  0.8380  6 Li 2.99-3.05, 1 Cd 3.01
Tl  0.0000  0.1620  0.6620  6 Li 2.99-3.05, 1 Cd 3.01
Tl  0.0000  0.8380  0.3380  6 Li 2.99-3.05, 1 Cd 3.01
Tl  0.0000  0.3380  0.1620  6 Li 2.99-3.05, 1 Cd 3.01

Calculated values
The total DFT energy (no corrections) comes out at -36.739 eV for the cell shown. The formation energy comes out at -0.194 eV/atom.